# Sc3BiB

A relaxed Sc3BiB crystal (GGA-PBE, Alexandria via LeMat-Bulk).

a = 5.7752 Å, b = 5.7752 Å, c = 8.2181 Å
α = 69.43°, β = 69.43°, γ = 90.00°
Last column: nearest neighbours and their distance in Å.
Sites, in units of the cell vectors:
Bi1 0.8963 0.3963 0.2073  8 Sc 3.18-3.36, 2 B 3.24
Bi2 0.6037 0.1037 0.7927  8 Sc 3.18-3.36, 2 B 3.24
Sc1 0.3021 0.3021 0.3957  2 B 2.98, 2 Sc 3.11, 2 Bi 3.18
Sc2 0.1112 0.3725 0.7776  2 B 2.19-2.41
Sc3 0.6275 0.8888 0.2224  2 B 2.19-2.41
Sc4 0.1501 0.8888 0.2224  2 B 2.19-2.41
Sc5 0.6979 0.6979 0.6043  2 B 2.98, 2 Sc 3.11, 2 Bi 3.18
Sc6 0.1112 0.8499 0.7776  2 B 2.19-2.41
B1 0.0000 0.0000 0.0000  4 Sc 2.19
B2 0.2500 0.7500 0.5000  4 Sc 2.41

**Calculated total energy**: -57.9 eV/cell
**ΔE_f**: 0.58 eV/f.u.
**Total magnetization**: 0.28 μB per atom
**Symmetry**: I-4m2, No. 119

=====

# AcPm3As

A relaxed AcPm3As crystal (GGA-PBE, Alexandria via LeMat-Bulk).

a = 5.7124 Å, b = 5.7124 Å, c = 5.7124 Å
α = 90.00°, β = 90.00°, γ = 90.00°
Last column: nearest neighbours and their distance in Å.
Sites, in units of the cell vectors:
As1 0.0000 0.0000 0.0000  6 Pm 2.86
Pm1 0.0000 0.0000 0.5000  2 As 2.86
Pm2 0.5000 0.0000 0.0000  2 As 2.86
Pm3 0.0000 0.5000 0.0000  2 As 2.86
Ac1 0.5000 0.5000 0.5000  12 Pm 4.04

**Calculated total energy**: -24.8 eV/cell
**ΔE_f**: -1.80 eV/f.u.
**Total magnetization**: 0.00 μB per atom
**Symmetry**: Pm-3m, No. 221